# 1
12
Lattice="6.651 -0.323 0.000 -1.176 6.318 0.000 -2.737 -2.997 6.773" Properties=species:S:1:pos:R:3 comment="PaCrSe4 (PBE, relaxed)" n_ef_per_ev_cell=0.40 mass_density_g_cm3=7.1 raw_formation_energy_ev_per_atom=-0.93 crystal_system=monoclinic space_group=C2/c pbc="T T T"
Pa 1.663 -0.081 5.225
Pa 1.075 3.078 1.548
Cr -2.251 3.240 4.393
Cr 4.988 -0.243 2.380
Se 5.630 1.285 0.484
Se -0.905 4.837 2.900
Se -2.893 1.712 6.289
Se 3.054 1.320 2.900
Se -0.316 1.678 3.873
Se -0.433 -1.550 6.289
Se 3.642 -1.839 3.873
Se 3.170 4.548 0.484

***

# 2
9
Lattice="5.300 0.259 0.452 0.002 5.594 -3.225 0.626 -0.013 6.442" Properties=species:S:1:pos:R:3 comment="U6OsRu2 (PBE, relaxed)" n_ef_per_ev_cell=20.55 mass_density_g_cm3=16.0 crystal_system=monoclinic space_group=C2/m ef_ev_per_atom=0.152 pbc="T T T"
U 3.881 1.334 2.316
U 4.375 3.644 3.759
U 2.048 4.506 1.352
U 4.375 1.426 5.038
U 1.553 2.196 -0.091
U 1.554 4.414 -1.370
Ru 4.228 4.038 0.542
Ru 1.700 1.802 3.126
Os 0.000 0.000 0.000

***

# 3
8
Lattice="-1.428 -1.981 4.101 -3.908 -3.623 -3.111 6.834 -3.078 0.893" Properties=species:S:1:pos:R:3 comment="AcTbPt2 (PBE, relaxed)" n_ef_per_ev_cell=4.39 mass_density_g_cm3=12.6 crystal_system=monoclinic space_group=P2_1/m relative_energy_kcal_per_mol_atoms=0.97 ef_ev_per_atom=-1.125 pbc="T T T"
Ac -0.647 -1.924 0.234
Ac 2.144 -6.758 1.649
Pt -2.227 -4.114 -1.374
Pt 0.563 -3.940 2.460
Pt 3.725 -4.568 3.257
Pt 0.935 -4.742 -0.576
Tb 2.864 -3.085 0.896
Tb -1.366 -5.597 0.987

***

# 4
9
Lattice="3.793 0.000 0.000 0.000 7.617 -4.398 0.000 0.000 8.795" Properties=species:S:1:pos:R:3 comment="TbYHg (PBE, relaxed)" n_ef_per_ev_cell=11.98 mass_density_g_cm3=8.8 crystal_system=hexagonal space_group=P-62m relative_energy_kcal_per_mol_atoms=2.02 ef_ev_per_atom=-0.291 pbc="T T T"
Y 1.897 0.000 5.355
Y 1.897 2.979 1.720
Y 1.897 4.638 -2.677
Hg 1.897 0.000 0.000
Hg 0.000 2.539 4.398
Hg 0.000 5.078 0.000
Tb 0.000 2.102 -1.214
Tb 0.000 0.000 2.427
Tb 0.000 5.515 3.184

***

# 5
20
Lattice="3.104 0.000 0.000 0.000 10.094 0.000 0.000 0.000 10.094" Properties=species:S:1:pos:R:3 comment="Zr2V2GeRu5 (PBE, relaxed)" n_ef_per_ev_cell=12.24 mass_density_g_cm3=9.1 crystal_system=tetragonal space_group=P4/mbm ef_ev_per_atom=-0.259 pbc="T T T"
Zr 0.000 8.337 6.804
Zr 0.000 3.290 8.337
Zr 0.000 6.804 1.757
Zr 0.000 1.757 3.290
Ru 1.552 0.542 8.089
Ru 1.552 7.051 4.505
Ru 1.552 5.589 7.051
Ru 1.552 5.047 0.000
Ru 1.552 8.089 9.552
Ru 1.552 3.042 5.589
Ru 1.552 0.000 5.047
Ru 1.552 4.505 3.042
Ru 1.552 2.004 0.542
Ru 1.552 9.552 2.004
V 0.000 8.744 3.697
V 0.000 1.350 6.396
V 0.000 6.396 8.744
V 0.000 3.697 1.350
Ge 0.000 0.000 0.000
Ge 0.000 5.047 5.047

***

# 6
20
Lattice="7.073 0.000 0.000 0.000 11.534 0.000 0.000 -5.767 9.988" Properties=species:S:1:pos:R:3 comment="Ac7Tl3 (PBE, relaxed)" n_ef_per_ev_cell=30.50 mass_density_g_cm3=9.0 crystal_system=hexagonal space_group=P6_3mc ef_ev_per_atom=-0.197 pbc="T T T"
Ac 1.143 2.177 5.402
Ac 1.143 -2.177 5.402
Ac 4.680 7.944 4.586
Ac 2.890 0.000 2.466
Ac 6.426 9.398 1.233
Ac 4.680 5.767 0.815
Ac 2.890 3.631 8.755
Ac 2.890 -3.631 8.755
Ac 4.316 0.000 6.659
Ac 6.426 5.767 7.522
Ac 1.143 0.000 9.173
Ac 6.426 2.136 1.233
Ac 0.779 5.767 3.329
Ac 4.680 3.590 4.586
Tl 2.564 8.236 1.904
Tl 2.564 5.767 6.181
Tl 2.564 3.297 1.904
Tl 6.100 -2.469 8.085
Tl 6.100 2.469 8.085
Tl 6.100 0.000 3.807